## Nd3Zn2Pd5 (PBE)

Data for crystalline Nd3Zn2Pd5 at its relaxed geometry.

Cell and atoms, written as POSCAR:
```
Nd3Zn2Pd5
1.0
-2.365 3.148 -0.201
-8.096 -6.051 0.461
0.059 0.690 10.095
Pd Nd Zn
10 6 4
direct
0.500 0.431 0.282
0.500 0.500 0.000
0.500 0.282 0.569
0.500 0.069 0.782
0.500 0.931 0.218
0.500 0.782 0.931
0.500 0.569 0.718
0.500 0.218 0.069
0.500 0.718 0.431
0.500 0.000 0.500
0.000 0.000 0.000
0.000 0.323 0.823
0.000 0.177 0.323
0.000 0.823 0.677
0.000 0.500 0.500
0.000 0.677 0.177
0.000 0.617 0.883
0.000 0.883 0.383
0.000 0.117 0.617
0.000 0.383 0.117
```

## Properties
Spin magnetization (μB/atom): 0.00
E_tot (eV per atom): -4.98
Fermi-level density of states (states/eV/cell): 8.90
ρ (g cm⁻³): 9.014
DFT formation energy (eV/atom): -0.70


## Nd7Zn2Pd2 (PBE)

Data for crystalline Nd7Zn2Pd2 at its relaxed geometry.

Cell and atoms, written as POSCAR:
```
Nd7Zn2Pd2
1.0
-2.095 -5.564 -3.447
-0.273 -3.808 6.313
-5.457 3.678 1.983
Nd Zn Pd
7 2 2
direct
0.000 0.270 0.500
0.500 0.730 0.000
0.000 0.000 0.000
0.500 0.737 0.500
0.500 0.263 0.500
0.500 0.270 0.000
0.000 0.730 0.500
0.838 0.500 0.838
0.162 0.500 0.162
0.706 0.000 0.294
0.294 0.000 0.706
```

## Properties
Spin magnetization (μB/atom): 0.00
E_tot (eV per atom): -4.42
Fermi-level density of states (states/eV/cell): 11.68
ρ (g cm⁻³): 6.847
DFT formation energy (eV/atom): -0.21


## Nd8ZnPd2 (PBE)

Data for crystalline Nd8ZnPd2 at its relaxed geometry.

Cell and atoms, written as POSCAR:
```
Nd8ZnPd2
1.0
5.293 0.000 0.000
0.000 6.947 -0.034
-2.647 -3.033 8.796
Nd Pd Zn
8 2 1
direct
0.593 0.472 0.186
0.407 0.528 0.814
0.801 0.663 0.601
0.028 0.785 0.056
0.199 0.337 0.399
0.972 0.215 0.944
0.326 0.996 0.652
0.674 0.004 0.348
0.171 0.730 0.342
0.829 0.270 0.658
0.500 0.000 0.000
```

## Properties
Spin magnetization (μB/atom): 0.00
Excess energy over the best structure of this formula in the dataset (eV per atom): 0.000
E_tot (eV per atom): -4.85
Fermi-level density of states (states/eV/cell): 10.44
ρ (g cm⁻³): 7.364
DFT formation energy (eV/atom): -0.32


## Nd3ZnPd4 (PBE)

Data for crystalline Nd3ZnPd4 at its relaxed geometry.

Cell and atoms, written as POSCAR:
```
Nd3ZnPd4
1.0
4.096 0.000 0.000
0.000 6.457 0.000
-2.048 -3.229 7.291
Nd Pd Zn
3 4 1
direct
0.000 0.500 0.000
0.809 0.809 0.618
0.191 0.191 0.382
0.380 0.591 0.759
0.620 0.832 0.241
0.380 0.168 0.759
0.620 0.409 0.241
0.500 0.000 0.000
```

## Properties
Spin magnetization (μB/atom): 0.00
E_tot (eV per atom): -5.18
Fermi-level density of states (states/eV/cell): 4.06
ρ (g cm⁻³): 7.956
DFT formation energy (eV/atom): -0.64


## Nd11Zn9Pd4 (PBE)

Data for crystalline Nd11Zn9Pd4 at its relaxed geometry.

Cell and atoms, written as POSCAR:
```
Nd11Zn9Pd4
1.0
3.774 0.000 0.000
0.000 11.898 -5.047
0.000 0.035 12.924
Pd Nd Zn
4 11 9
direct
0.500 0.446 0.247
0.500 0.753 0.554
0.500 0.554 0.753
0.500 0.247 0.446
0.000 0.063 0.410
0.000 0.590 0.937
0.000 0.371 0.629
0.000 0.937 0.590
0.000 0.410 0.063
0.000 0.170 0.830
0.000 0.830 0.170
0.000 0.629 0.371
0.000 0.710 0.710
0.000 0.000 0.000
0.000 0.290 0.290
0.500 0.500 0.500
0.500 0.165 0.631
0.500 0.212 0.067
0.500 0.369 0.835
0.500 0.067 0.212
0.500 0.788 0.933
0.500 0.631 0.165
0.500 0.933 0.788
0.500 0.835 0.369
```

## Properties
Spin magnetization (μB/atom): 0.00
E_tot (eV per atom): -3.99
Fermi-level density of states (states/eV/cell): 19.90
ρ (g cm⁻³): 7.433
DFT formation energy (eV/atom): -0.46


## NdZn4Pd6 (PBE)

Data for crystalline NdZn4Pd6 at its relaxed geometry.

Cell and atoms, written as POSCAR:
```
NdZn4Pd6
1.0
-4.754 -4.201 1.794
6.336 -1.799 -0.311
2.020 4.896 3.928
Nd Pd Zn
1 6 4
direct
0.000 0.000 0.000
0.500 0.000 0.500
0.430 0.530 0.530
0.570 0.100 0.100
0.500 0.500 0.000
0.000 0.900 0.470
0.000 0.470 0.900
0.313 0.747 0.747
0.000 0.566 0.253
0.000 0.253 0.566
0.687 0.434 0.434
```

## Properties
Spin magnetization (μB/atom): 0.00
E_tot (eV per atom): -4.10
Fermi-level density of states (states/eV/cell): 3.26
ρ (g cm⁻³): 8.860
DFT formation energy (eV/atom): -0.37


## NdZn2Pd6 (PBE)

Data for crystalline NdZn2Pd6 at its relaxed geometry.

Cell and atoms, written as POSCAR:
```
NdZn2Pd6
1.0
4.795 0.000 0.000
-2.398 4.153 0.000
0.000 0.000 8.880
Nd Pd Zn
1 6 2
direct
0.000 0.000 0.000
0.658 0.658 0.734
0.000 0.658 0.266
0.342 0.000 0.734
0.000 0.342 0.734
0.658 0.000 0.266
0.342 0.342 0.266
0.667 0.333 0.500
0.333 0.667 0.500
```

## Properties
Spin magnetization (μB/atom): 0.00
E_tot (eV per atom): -4.56
Fermi-level density of states (states/eV/cell): 6.28
ρ (g cm⁻³): 8.579
DFT formation energy (eV/atom): -0.28


## NdZn2Pd (PBE)

Data for crystalline NdZn2Pd at its relaxed geometry.

Cell and atoms, written as POSCAR:
```
NdZn2Pd
1.0
-1.467 -1.478 3.828
-2.435 -3.610 0.153
2.817 -4.451 1.841
Nd Zn Pd
1 2 1
direct
0.000 0.000 0.000
0.212 0.212 0.365
0.788 0.788 0.635
0.500 0.500 0.500
```

## Properties
Spin magnetization (μB/atom): 0.00
E_tot (eV per atom): -3.60
Fermi-level density of states (states/eV/cell): 2.92
ρ (g cm⁻³): 7.735
DFT formation energy (eV/atom): -0.47


## NdZn5Pd2 (PBE)

Data for crystalline NdZn5Pd2 at its relaxed geometry.

Cell and atoms, written as POSCAR:
```
NdZn5Pd2
1.0
3.886 0.000 0.000
1.943 6.233 -0.025
1.943 1.852 5.951
Zn Pd Nd
5 2 1
direct
0.640 0.172 0.547
0.000 0.500 0.500
0.640 0.547 0.172
0.360 0.453 0.828
0.360 0.828 0.453
0.745 0.755 0.755
0.255 0.245 0.245
0.000 0.000 0.000
```

## Properties
Spin magnetization (μB/atom): 0.00
E_tot (eV per atom): -3.11
Fermi-level density of states (states/eV/cell): 4.22
ρ (g cm⁻³): 7.870
DFT formation energy (eV/atom): -0.42


## Nd6Zn4Pd13 (PBE)

Data for crystalline Nd6Zn4Pd13 at its relaxed geometry.

Cell and atoms, written as POSCAR:
```
Nd6Zn4Pd13
1.0
8.387 0.000 0.000
-2.796 7.907 0.000
-2.796 -3.954 6.848
Pd Nd Zn
13 6 4
direct
0.000 0.331 0.669
0.661 0.331 0.331
0.000 0.000 0.000
0.331 0.000 0.669
0.000 0.669 0.331
0.669 0.669 0.339
0.669 0.000 0.331
0.331 0.669 0.000
0.339 0.669 0.669
0.331 0.331 0.661
0.669 0.339 0.669
0.331 0.661 0.331
0.669 0.331 0.000
0.302 0.000 0.302
0.000 0.698 0.698
0.000 0.302 0.302
0.698 0.000 0.698
0.698 0.698 0.000
0.302 0.302 0.000
0.000 0.000 0.500
0.500 0.000 0.000
0.500 0.500 0.500
0.000 0.500 0.000
```

## Properties
Spin magnetization (μB/atom): 0.00
E_tot (eV per atom): -5.19
Fermi-level density of states (states/eV/cell): 12.73
ρ (g cm⁻³): 9.180
DFT formation energy (eV/atom): -0.79


## Nd4ZnPd (PBE)

Data for crystalline Nd4ZnPd at its relaxed geometry.

Cell and atoms, written as POSCAR:
```
Nd4ZnPd
1.0
-2.561 7.635 1.166
-4.589 -3.949 -5.436
-0.477 -3.959 7.093
Nd Pd Zn
8 2 2
direct
0.256 0.560 0.304
0.795 0.993 0.802
0.743 0.441 0.698
0.191 0.993 0.198
0.310 0.506 0.804
0.256 0.953 0.696
0.703 0.506 0.196
0.743 0.045 0.302
0.500 0.000 0.500
0.750 0.750 0.000
0.002 0.502 0.500
0.252 0.252 0.000
```

## Properties
Spin magnetization (μB/atom): 0.07
Excess energy over the best structure of this formula in the dataset (eV per atom): 0.291
E_tot (eV per atom): -4.32
Fermi-level density of states (states/eV/cell): 23.11
ρ (g cm⁻³): 6.005
DFT formation energy (eV/atom): -0.06


## Nd3Zn2Pd6 (PBE)

Data for crystalline Nd3Zn2Pd6 at its relaxed geometry.

Cell and atoms, written as POSCAR:
```
Nd3Zn2Pd6
1.0
-0.107 -8.027 -2.257
3.392 0.710 7.584
-7.799 2.947 0.156
Pd Nd Zn
12 6 4
direct
0.333 0.665 0.333
0.000 0.333 0.667
0.333 0.667 0.000
0.667 0.000 0.333
0.333 0.000 0.667
0.000 0.667 0.333
0.335 0.667 0.667
0.667 0.333 0.000
0.667 0.667 0.335
0.665 0.333 0.333
0.333 0.333 0.665
0.667 0.335 0.667
0.000 0.702 0.702
0.298 0.000 0.298
0.000 0.298 0.298
0.702 0.702 0.000
0.702 0.000 0.702
0.298 0.298 0.000
0.500 0.500 0.500
0.500 0.000 0.000
0.000 0.500 0.000
0.000 0.000 0.500
```

## Properties
Spin magnetization (μB/atom): 0.00
E_tot (eV per atom): -5.11
Fermi-level density of states (states/eV/cell): 14.52
ρ (g cm⁻³): 8.945
DFT formation energy (eV/atom): -0.74